Ta2CrO8 GGA+U optimized geometry; SG = C2/c (15); M_tot = 0.019 μB/atom; DFT total energy = -8.407 eV/atom
1.0
10.2277 -2.5933 0.0000
10.2277 2.5933 0.0000
-0.3924 0.0000 4.8628
Ta Cr O
4 2 16
direct
0.0855 0.6536 0.7210
0.3464 0.9145 0.7790
0.6536 0.0855 0.2210
0.9145 0.3464 0.2790
0.3182 0.6818 0.2500
0.6818 0.3182 0.7500
0.0538 0.8101 0.0895
0.1522 0.2099 0.5732
0.1899 0.9462 0.4105
0.2099 0.1522 0.0732
0.3223 0.5891 0.5881
0.3344 0.3493 0.9554
0.3493 0.3344 0.4554
0.4109 0.6777 0.9119
0.5891 0.3223 0.0881
0.6507 0.6656 0.5446
0.6656 0.6507 0.0446
0.6777 0.4109 0.4119
0.7901 0.8478 0.9268
0.8101 0.0538 0.5895
0.8478 0.7901 0.4268
0.9462 0.1899 0.9105